Entry from Alexandria via LeMat-Bulk: a relaxed structure of Hf2Ta2Ir (PBE).

Lattice parameters (Å, degrees): 3.342 3.342 8.642 101.15 101.15 90.00
Element x y z (fractional)
Hf: 0.596 0.596 0.192
Hf: 0.404 0.404 0.808
Ta: 0.795 0.795 0.591
Ta: 0.205 0.205 0.409
Ir: 0.000 0.000 0.000

Properties
total magnetic moment	0.0	μB per formula unit
SG	No. 139
formation energy from the elements	-0.398	eV per atom
E	-54.47	eV per formula unit
DOS at the Fermi energy	1.0688	states/eV per atom